## K2LiAl (PBE-GGA)

Data for an optimized crystal structure of K2LiAl.

Summary:
- SG: Immm
- E_form: 0.354 eV per atom
- Total moment: 0.64 μB/f.u.

Cell lengths 6.601, 6.601, 6.601 Å; angles 133.84, 133.71, 67.44 degrees
Sites, in units of the cell vectors:
K: 0.250 0.250 0.000
K: 0.750 0.750 0.000
Li: 0.500 0.000 0.500
Al: 0.000 0.500 0.500